# 1
PBE-GGA Ba4Sr5Au2, relaxed; V = 53.73 Å³ per atom; energy of formation = -246 meV/atom; space group = P2/m (10)
1.0
4.548 0.000 0.000
0.000 7.288 -1.212
0.000 -1.100 18.016
Ba Sr Au
4 5 2
Cartesian
2.274 3.965 14.612 Ba
2.274 2.222 2.192 Ba
2.274 -0.033 12.648 Ba
2.274 6.221 4.156 Ba
0.000 3.447 10.618 Sr
0.000 5.709 0.370 Sr
0.000 0.478 16.434 Sr
0.000 -0.550 9.008 Sr
0.000 2.740 6.187 Sr
0.000 0.634 3.833 Au
0.000 5.554 12.971 Au

# 2
PBE-GGA Ba3Sr4Au4, relaxed; V = 37.36 Å³ per atom; energy of formation = -552 meV/atom; space group = Immm (71)
1.0
-4.204 -1.026 -0.985
1.271 -9.050 4.004
-1.262 8.304 6.737
Au Sr Ba
4 4 3
Cartesian
-0.743 -2.874 6.171 Au
-1.105 -7.611 2.648 Au
-1.828 -2.465 0.371 Au
-3.451 1.102 3.586 Au
-2.639 -2.225 3.582 Sr
-2.033 3.843 4.674 Sr
-2.162 -5.615 5.083 Sr
-1.556 0.453 6.174 Sr
0.636 -4.525 2.002 Ba
-0.548 0.656 1.658 Ba
-3.646 -2.429 8.099 Ba

# 3
PBE-GGA BaSr2Au, relaxed; V = 42.00 Å³ per atom; energy of formation = -367 meV/atom; E above lowest polymorph = 0.0457 eV/atom; space group = P4/mmm (123)
1.0
-3.495 0.284 -1.893
1.783 -0.964 -3.432
-1.866 -10.236 1.907
Au Sr Ba
1 2 1
Cartesian
-1.323 -2.899 -2.186 Au
-0.147 -0.806 0.150 Sr
-0.786 -4.312 0.803 Sr
-2.256 -8.017 -1.232 Ba

# 4
PBE-GGA Ba2SrVAu, relaxed; V = 41.83 Å³ per atom; energy of formation = 397 meV/atom; space group = P4/mmm (123)
1.0
6.431 0.000 0.000
0.000 5.057 0.000
0.000 0.000 6.431
Sr Ba V Au
1 2 1 1
Cartesian
3.216 2.528 3.216 Sr
3.216 0.000 0.000 Ba
0.000 0.000 3.216 Ba
0.000 0.000 0.000 V
0.000 2.528 0.000 Au

# 5
PBE-GGA Ba3Sr2Zn2Au4, relaxed; V = 34.04 Å³ per atom; energy of formation = -566 meV/atom; space group = P-3m1 (164)
1.0
4.695 0.000 0.000
-2.347 4.066 0.000
0.000 0.000 19.618
Sr Zn Ba Au
2 2 3 4
Cartesian
0.000 2.711 11.475 Sr
2.347 1.355 8.143 Sr
0.000 2.711 2.280 Zn
2.347 1.355 17.338 Zn
0.000 0.000 4.549 Ba
0.000 0.000 0.000 Ba
0.000 0.000 15.069 Ba
2.347 1.355 13.041 Au
0.000 2.711 17.324 Au
2.347 1.355 2.294 Au
0.000 2.711 6.577 Au

# 6
PBE-GGA BaSrZn2Au2, relaxed; V = 27.08 Å³ per atom; energy of formation = -565 meV/atom; space group = P-3m1 (164)
1.0
-0.120 -4.579 0.919
4.104 2.167 -0.541
0.221 1.685 8.425
Zn Sr Ba Au
2 1 1 2
Cartesian
1.449 -1.096 6.605 Zn
2.755 0.369 2.198 Zn
0.110 0.843 4.212 Sr
0.000 0.000 0.000 Ba
2.857 1.150 6.101 Au
1.347 -1.877 2.702 Au

# 7
PBE-GGA Ba3Sr3Zn2Au, relaxed; V = 40.39 Å³ per atom; energy of formation = -222 meV/atom; space group = P-62m (189)
1.0
4.786 0.000 0.000
0.000 9.365 0.000
0.000 -4.682 8.110
Ba Sr Zn Au
3 3 2 1
Cartesian
0.000 2.760 4.780 Ba
0.000 3.845 0.000 Ba
0.000 -1.923 3.330 Ba
2.393 1.140 1.975 Sr
2.393 -3.542 6.135 Sr
2.393 7.084 0.000 Sr
2.393 4.682 2.703 Zn
2.393 0.000 5.407 Zn
0.000 0.000 0.000 Au

# 8
PBE-GGA BaTaAu, relaxed; V = 28.70 Å³ per atom; energy of formation = 189 meV/atom; E above lowest polymorph = 0.1656 eV/atom; space group = C2/m (12)
1.0
-3.364 -0.151 1.394
-0.081 -3.936 -5.378
3.139 -6.873 2.065
Au Ta Ba
2 2 2
Cartesian
-2.028 -4.229 0.653 Au
-2.198 -1.189 0.573 Au
2.342 -5.970 1.479 Ta
-0.065 -6.168 0.419 Ta
0.427 -6.615 -3.202 Ba
-1.371 -2.587 -2.344 Ba